## Na4Th3CuTe8 (GGA-PBE)

Data for Na4Th3CuTe8 after structural relaxation.

```
Na4Th3CuTe8
1.0
7.7380 -4.4248 0.0000
7.7380 4.4248 0.0000
-5.1728 0.0000 7.5505
Na Th Cu Te
4 3 1 8
direct
0.0000 0.0000 0.0000
0.0000 0.5000 0.0000
0.5000 0.0000 0.0000
0.5000 0.5000 0.0000
0.0000 0.0000 0.5000
0.0000 0.5000 0.5000
0.5000 0.0000 0.5000
0.5000 0.5000 0.5000
0.2489 0.2489 0.7483
0.2587 0.2587 0.2662
0.2587 0.7328 0.7257
0.2672 0.7413 0.2743
0.7328 0.2587 0.7257
0.7413 0.2672 0.2743
0.7413 0.7413 0.7338
0.7511 0.7511 0.2517
```

Calculated values
**Raw formation energy**: -956 meV per atom

=====

## ReRuRh2 (GGA-PBE)

Data for ReRuRh2 after structural relaxation.

```
ReRuRh2
1.0
3.8221 0.0000 0.0000
0.0000 3.8221 0.0000
0.0000 0.0000 7.7915
Re Ru Rh
2 2 4
direct
0.0000 0.0000 0.0000
0.5000 0.5000 0.5000
0.0000 0.0000 0.5000
0.5000 0.5000 0.0000
0.0000 0.5000 0.2500
0.0000 0.5000 0.7500
0.5000 0.0000 0.2500
0.5000 0.0000 0.7500
```

Calculated values
**E above lowest polymorph**: 0.31 eV/f.u.
**ΔH_f (0 K)**: -5 meV per atom

=====

- What is the formula in the second record?
  ReRuRh2